(1)
The following is a DFT calculation (GGA-PBE) of crystalline La3ZrSi at its relaxed geometry.

Geometry as POSCAR:
```
La3ZrSi
1.0
5.543 0.000 0.000
0.000 5.543 0.000
0.000 0.000 5.543
La Zr Si
3 1 1
Direct
0.000 0.000 0.500 La
0.000 0.500 0.000 La
0.500 0.000 0.000 La
0.000 0.000 0.000 Zr
0.500 0.500 0.500 Si
```

Calculated values
Total energy   -25.875 eV/cell
Distance to the lowest polymorph of the same formula   242.0 meV/atom
Volume   34.06 Å³ per atom
ΔE_f (raw)   576 meV per atom
Size of the total moment   0.000 μB per atom

---

(2)
The following is a DFT calculation (GGA-PBE) of crystalline LaZrSi2 at its relaxed geometry.

Geometry as POSCAR:
```
LaZrSi2
1.0
4.117 0.000 0.000
0.000 4.040 0.000
-0.018 0.000 5.733
La Zr Si
1 1 2
Direct
0.000 0.000 0.000 La
0.500 0.500 0.500 Zr
0.000 0.000 0.500 Si
0.500 0.500 0.000 Si
```

Calculated values
Total energy   -25.990 eV/cell
Distance to the lowest polymorph of the same formula   176.0 meV/atom
Volume   23.84 Å³ per atom
ΔE_f (raw)   -417 meV per atom
Size of the total moment   0.000 μB per atom

---

(3)
The following is a DFT calculation (GGA-PBE) of crystalline LaZrSi2 at its relaxed geometry.

Geometry as POSCAR:
```
LaZrSi2
1.0
4.181 0.000 0.000
0.000 4.181 0.000
0.000 0.000 10.034
La Zr Si
2 2 4
Direct
0.000 0.000 0.000 La
0.500 0.500 0.500 La
0.000 0.500 0.250 Zr
0.500 0.000 0.750 Zr
0.000 0.000 0.500 Si
0.000 0.500 0.750 Si
0.500 0.000 0.250 Si
0.500 0.500 0.000 Si
```

Calculated values
Total energy   -50.825 eV/cell
Distance to the lowest polymorph of the same formula   320.3 meV/atom
Volume   21.93 Å³ per atom
ΔE_f (raw)   -273 meV per atom
Size of the total moment   0.000 μB per atom

---

(4)
The following is a DFT calculation (GGA-PBE) of crystalline LaZr4Si at its relaxed geometry.

Geometry as POSCAR:
```
LaZr4Si
1.0
0.000 4.167 4.167
4.167 0.000 4.167
4.167 4.167 0.000
La Zr Si
1 4 1
Direct
0.000 0.000 0.000 La
0.373 0.373 0.373 Zr
0.373 0.373 0.880 Zr
0.373 0.880 0.373 Zr
0.880 0.373 0.373 Zr
0.750 0.750 0.750 Si
```

Calculated values
Total energy   -42.422 eV/cell
Volume   24.11 Å³ per atom
ΔE_f (raw)   353 meV per atom
Size of the total moment   0.000 μB per atom

---

(5)
The following is a DFT calculation (GGA-PBE) of crystalline LaZrSi2 at its relaxed geometry.

Geometry as POSCAR:
```
LaZrSi2
1.0
6.262 0.000 0.000
0.000 8.167 0.000
0.000 0.000 3.299
La Zr Si
2 2 4
Direct
0.000 0.000 0.000 La
0.500 0.500 0.000 La
0.000 0.500 0.000 Zr
0.500 0.000 0.000 Zr
0.250 0.250 0.500 Si
0.250 0.750 0.500 Si
0.750 0.250 0.500 Si
0.750 0.750 0.500 Si
```

Calculated values
Total energy   -51.145 eV/cell
Distance to the lowest polymorph of the same formula   280.2 meV/atom
Volume   21.09 Å³ per atom
ΔE_f (raw)   -313 meV per atom
Size of the total moment   0.000 μB per atom

---

(6)
The following is a DFT calculation (GGA-PBE) of crystalline La2ZrSi at its relaxed geometry.

Geometry as POSCAR:
```
La2ZrSi
1.0
4.599 0.000 0.000
0.000 4.599 0.000
0.000 0.000 9.720
La Zr Si
4 2 2
Direct
0.000 0.500 0.250 La
0.000 0.500 0.750 La
0.500 0.000 0.250 La
0.500 0.000 0.750 La
0.000 0.000 0.000 Zr
0.500 0.500 0.500 Zr
0.000 0.000 0.500 Si
0.500 0.500 0.000 Si
```

Calculated values
Total energy   -48.183 eV/cell
Volume   25.69 Å³ per atom
ΔE_f (raw)   -66 meV per atom
Size of the total moment   0.001 μB per atom

---

(7)
The following is a DFT calculation (GGA-PBE) of crystalline La2ZrSi at its relaxed geometry.

Geometry as POSCAR:
```
La2ZrSi
1.0
4.631 0.000 0.000
0.000 4.631 0.000
0.000 0.000 4.722
La Zr Si
2 1 1
Direct
0.000 0.500 0.000 La
0.500 0.000 0.000 La
0.000 0.000 0.500 Zr
0.500 0.500 0.500 Si
```

Calculated values
Total energy   -24.539 eV/cell
Volume   25.32 Å³ per atom
ΔE_f (raw)   -178 meV per atom
Size of the total moment   0.000 μB per atom

---

(8)
The following is a DFT calculation (GGA-PBE) of crystalline LaZrSi2 at its relaxed geometry.

Geometry as POSCAR:
```
LaZrSi2
1.0
9.041 0.000 0.000
0.000 3.783 0.000
-2.120 0.000 5.352
La Zr Si
2 2 4
Direct
0.000 0.000 0.000 La
0.500 0.500 0.000 La
0.000 0.500 0.500 Zr
0.500 0.000 0.500 Zr
0.236 0.000 0.638 Si
0.264 0.500 0.362 Si
0.736 0.500 0.638 Si
0.764 0.000 0.362 Si
```

Calculated values
Total energy   -53.149 eV/cell
Distance to the lowest polymorph of the same formula   29.7 meV/atom
Volume   22.88 Å³ per atom
ΔE_f (raw)   -563 meV per atom
Size of the total moment   0.000 μB per atom

---

(9)
The following is a DFT calculation (GGA-PBE) of crystalline La2ZrSi2 at its relaxed geometry.

Geometry as POSCAR:
```
La2ZrSi2
1.0
8.586 0.000 0.000
0.000 8.586 0.000
0.000 0.000 3.438
La Zr Si
4 2 4
Direct
0.126 0.374 0.000 La
0.374 0.874 0.000 La
0.626 0.126 0.000 La
0.874 0.626 0.000 La
0.000 0.000 0.000 Zr
0.500 0.500 0.000 Zr
0.176 0.676 0.500 Si
0.324 0.176 0.500 Si
0.676 0.824 0.500 Si
0.824 0.324 0.500 Si
```

Calculated values
Total energy   -58.629 eV/cell
Distance to the lowest polymorph of the same formula   577.0 meV/atom
Volume   25.35 Å³ per atom
ΔE_f (raw)   -13 meV per atom
Size of the total moment   0.323 μB per atom

---

(10)
The following is a DFT calculation (GGA-PBE) of crystalline LaZr2Si at its relaxed geometry.

Geometry as POSCAR:
```
LaZr2Si
1.0
3.657 0.000 0.000
0.000 3.657 0.000
0.000 0.000 7.216
La Zr Si
1 2 1
Direct
0.000 0.000 0.000 La
0.000 0.000 0.419 Zr
0.500 0.500 0.666 Zr
0.500 0.500 0.275 Si
```

Calculated values
Total energy   -28.462 eV/cell
Volume   24.12 Å³ per atom
ΔE_f (raw)   -254 meV per atom
Size of the total moment   0.239 μB per atom

---

(11)
The following is a DFT calculation (GGA-PBE) of crystalline LaZrSi at its relaxed geometry.

Geometry as POSCAR:
```
LaZrSi
1.0
4.622 0.000 0.000
-2.311 4.003 0.000
0.000 0.000 4.180
La Zr Si
1 1 1
Direct
0.000 0.000 0.000 La
0.333 0.667 0.508 Zr
0.667 0.333 0.446 Si
```

Calculated values
Total energy   -19.611 eV/cell
Distance to the lowest polymorph of the same formula   353.4 meV/atom
Volume   25.78 Å³ per atom
ΔE_f (raw)   -238 meV per atom
Size of the total moment   0.000 μB per atom

---

(12)
The following is a DFT calculation (GGA-PBE) of crystalline LaZr2Si at its relaxed geometry.

Geometry as POSCAR:
```
LaZr2Si
1.0
4.426 0.000 0.000
0.000 3.925 0.000
0.000 0.000 11.660
La Zr Si
2 4 2
Direct
0.000 0.000 0.000 La
0.000 0.500 0.500 La
0.000 0.000 0.728 Zr
0.000 0.500 0.228 Zr
0.500 0.000 0.285 Zr
0.500 0.500 0.785 Zr
0.500 0.000 0.596 Si
0.500 0.500 0.096 Si
```

Calculated values
Total energy   -56.694 eV/cell
Volume   25.32 Å³ per atom
ΔE_f (raw)   -225 meV per atom
Size of the total moment   0.000 μB per atom

---

(13)
The following is a DFT calculation (GGA-PBE) of crystalline LaZr2Si at its relaxed geometry.

Geometry as POSCAR:
```
LaZr2Si
1.0
3.530 0.000 0.000
-1.765 3.057 0.000
0.000 0.000 27.908
La Zr Si
3 6 3
Direct
0.000 0.000 0.000 La
0.333 0.667 0.667 La
0.667 0.333 0.333 La
0.000 0.000 0.226 Zr
0.000 0.000 0.473 Zr
0.333 0.667 0.140 Zr
0.333 0.667 0.892 Zr
0.667 0.333 0.559 Zr
0.667 0.333 0.807 Zr
0.000 0.000 0.743 Si
0.333 0.667 0.410 Si
0.667 0.333 0.077 Si
```

Calculated values
Total energy   -82.432 eV/cell
Volume   25.09 Å³ per atom
ΔE_f (raw)   -8 meV per atom
Size of the total moment   0.000 μB per atom